Here is LiCu2W after structural relaxation from the Alexandria database. Energies are from PBE.

Unit cell a=2.5740 b=4.5754 c=4.5851 alpha=90.00 beta=90.00 gamma=90.00
Space group Pmmm (No. 47)
Inequivalent atoms, fractional coordinates:
Li 0.0000 0.0000 0.0000 (multiplicity 1)
Cu 0.0000 0.5000 0.5000 (multiplicity 1)
Cu 0.5000 0.5000 0.0000 (multiplicity 1)
W 0.5000 0.0000 0.5000 (multiplicity 1)

Properties
* formation energy from the elements: 0.53 eV per atom
* DOS(E_F): 0.6138 states/eV per atom
* density: 9.775 g cm⁻³
* uncorrected energy: -0.1925 hartree per atom